(1)
DFT (GGA-PBE) results for an optimized crystal structure of Mn2ReIr. Values from VASP.

## Properties
Calculated total energy = -9.923 eV/atom
Symmetry = Cm (8)
Energy of formation = -0.011 eV per atom

The structure in Quantum ESPRESSO input format:
```
&SYSTEM
  ibrav = 0, nat = 4, ntyp = 3
/
ATOMIC_SPECIES
Ir 192.22 Ir.upf
Mn 54.94 Mn.upf
Re 186.21 Re.upf
CELL_PARAMETERS angstrom
-1.7514 3.9219 -1.6091
-3.6876 2.7169 -0.2413
0.8310 2.7019 3.5565
ATOMIC_POSITIONS crystal
Ir 0.2524 0.2524 0.2377
Mn 0.9992 0.9992 0.9990
Mn 0.7476 0.7476 0.7547
Re 0.5009 0.5009 0.5086
```

---

(2)
DFT (GGA-PBE) results for an optimized crystal structure of Mn2ReIr. Values from VASP.

## Properties
Calculated total energy = -9.914 eV/atom
Symmetry = P4/mmm (123)
Energy of formation = -0.002 eV per atom

The structure in Quantum ESPRESSO input format:
```
&SYSTEM
  ibrav = 0, nat = 4, ntyp = 3
/
ATOMIC_SPECIES
Ir 192.22 Ir.upf
Mn 54.94 Mn.upf
Re 186.21 Re.upf
CELL_PARAMETERS angstrom
2.6565 0.0000 0.0000
0.0000 2.6565 0.0000
0.0000 0.0000 7.4240
ATOMIC_POSITIONS crystal
Ir 0.5000 0.5000 0.7500
Mn 0.0000 0.0000 0.9964
Mn 0.0000 0.0000 0.5036
Re 0.5000 0.5000 0.2500
```

---

no.,Fermi-level density of states (states/eV/cell)
1,4.79
2,5.08